The following is a PBE+U calculation of an optimized crystal structure of KCoPH2O5, from the Alexandria database.

abc: 5.637 9.682 9.687
angles: 60.15 88.54 89.51
Fractional positions:
K 0.000 0.000 0.000
K 0.011 0.002 0.499
K 0.501 0.922 0.289
K 0.519 0.921 0.788
Co 0.012 0.447 0.337
Co 0.493 0.477 0.574
Co 0.517 0.475 0.074
Co 0.997 0.447 0.835
P 0.028 0.672 0.941
P 0.500 0.250 0.901
P 0.511 0.252 0.401
P 0.989 0.673 0.439
H 0.164 0.260 0.621
H 0.176 0.257 0.108
H 0.344 0.670 0.150
H 0.405 0.649 0.721
H 0.609 0.649 0.216
H 0.672 0.669 0.645
H 0.888 0.273 0.649
H 0.907 0.274 0.152
O 0.005 0.852 0.321
O 0.006 0.249 0.586
O 0.009 0.248 0.084
O 0.012 0.850 0.821
O 0.042 0.646 0.112
O 0.207 0.579 0.423
O 0.254 0.597 0.902
O 0.281 0.334 0.791
O 0.299 0.342 0.287
O 0.492 0.279 0.045
O 0.499 0.674 0.622
O 0.502 0.071 0.961
O 0.502 0.281 0.545
O 0.505 0.073 0.461
O 0.516 0.674 0.121
O 0.722 0.337 0.787
O 0.739 0.332 0.290
O 0.768 0.596 0.403
O 0.814 0.576 0.928
O 0.968 0.645 0.612

Summary:
raw total energy: -6.011 eV/atom
Fermi-level density of states: 0.0 states/eV/f.u.